Density functional theory data (PBE+U) for crystalline Co2CuIrO6 at its relaxed geometry.

## Properties
E_tot ... -6.047 eV per atom

```
Co2CuIrO6
1.0
5.0651 -0.0002 0.0005
2.5324 4.3871 0.0003
2.5326 1.4625 4.5697
Co Cu Ir O
2 1 1 6
direct
0.5258 0.5258 0.4225
0.0070 0.0070 0.9790
0.8051 0.8051 0.5848
0.3232 0.3232 0.0305
0.6154 0.2179 0.2372
0.2178 0.9295 0.2373
0.9295 0.6154 0.2372
0.3913 0.7344 0.7622
0.7343 0.1122 0.7622
0.1122 0.3912 0.7622
```